LiSmPaRe: relaxed, PBE.

Cell and atoms, written as POSCAR:
```
LiSmPaRe
1.0
7.013 0.000 0.000
0.000 7.013 0.000
0.000 0.000 7.013
Li Sm Pa Re
4 4 4 4
Cartesian
0.000 0.000 0.000
0.000 3.506 3.506
3.506 0.000 3.506
3.506 3.506 0.000
1.753 1.753 1.753
1.753 5.260 5.260
5.260 1.753 5.260
5.260 5.260 1.753
1.753 1.753 5.260
1.753 5.260 1.753
5.260 1.753 1.753
5.260 5.260 5.260
0.000 0.000 3.506
0.000 3.506 0.000
3.506 0.000 0.000
3.506 3.506 3.506
```

- Uncorrected energy: -6.96 eV per atom
- Magnetic moment: 0.0 μB per cell
- Formation energy: 0.186 eV per atom